Record 1
This record from the Alexandria database describes crystalline NaZnAs2Br at its relaxed geometry. The functional is PBE-GGA.

Cell: 4.737 4.737 6.458 Å, 90.00 90.00 90.00°
Space group P4/mmm (No. 123)
Inequivalent atoms, fractional coordinates:
Na 0.000 0.000 0.000
Zn 0.500 0.500 0.500
As 0.000 0.500 0.500
Br 0.500 0.500 0.000

Summary:
Energy in eV/atom: -2.666
M_tot in μB per formula unit: 0.08
Energy above the most stable polymorph in this dataset in eV/f.u.: 0.00
Formation energy from raw total energies in eV per atom: 0.047

***

Record 2
This record from the Alexandria database describes crystalline NaZnAsBr2 at its relaxed geometry. The functional is PBE-GGA.

Cell: 5.573 5.573 4.841 Å, 90.00 90.00 90.00°
Space group P4/mmm (No. 123)
Inequivalent atoms, fractional coordinates:
Na 0.000 0.000 0.000
Zn 0.500 0.500 0.500
As 0.500 0.500 0.000
Br 0.000 0.500 0.500

Summary:
Energy in eV/atom: -2.451
M_tot in μB per formula unit: 1.94
Energy above the most stable polymorph in this dataset in eV/f.u.: 0.00
Formation energy from raw total energies in eV per atom: -0.333

***

Record 3
This record from the Alexandria database describes crystalline NaZrAsBr2 at its relaxed geometry. The functional is PBE-GGA.

Cell: 5.459 5.459 5.222 Å, 90.00 90.00 90.00°
Space group P4/mmm (No. 123)
Inequivalent atoms, fractional coordinates:
Na 0.000 0.000 0.000
Zr 0.500 0.500 0.500
As 0.500 0.500 0.000
Br 0.000 0.500 0.500

Summary:
Energy in eV/atom: -4.354
M_tot in μB per formula unit: 0.00
Energy above the most stable polymorph in this dataset in eV/f.u.: 0.00
Formation energy from raw total energies in eV per atom: -0.782

***

Record 4
This record from the Alexandria database describes crystalline NaZrAsBr2 at its relaxed geometry. The functional is PBE-GGA.

Cell: 4.861 4.861 5.657 Å, 90.00 90.00 90.00°
Space group P4/mmm (No. 123)
Inequivalent atoms, fractional coordinates:
Na 0.000 0.000 0.000
Zr 0.500 0.500 0.500
As 0.000 0.000 0.500
Br 0.000 0.500 0.000

Summary:
Energy in eV/atom: -3.331
M_tot in μB per formula unit: 0.00
Energy above the most stable polymorph in this dataset in eV/f.u.: 5.11
Formation energy from raw total energies in eV per atom: 0.241

***

Record 5
This record from the Alexandria database describes crystalline NaZrAsBr2 at its relaxed geometry. The functional is PBE-GGA.

Cell: 5.843 5.843 5.171 Å, 90.00 90.00 90.00°
Space group P4/mmm (No. 123)
Inequivalent atoms, fractional coordinates:
Na 0.000 0.000 0.000
Zr 0.500 0.500 0.000
As 0.500 0.500 0.500
Br 0.000 0.500 0.500

Summary:
Energy in eV/atom: -3.490
M_tot in μB per formula unit: 1.72
Energy above the most stable polymorph in this dataset in eV/f.u.: 4.32
Formation energy from raw total energies in eV per atom: 0.083

***

Record 6
This record from the Alexandria database describes crystalline Nb2AsBr at its relaxed geometry. The functional is PBE-GGA.

Cell: 7.276 7.276 6.243 Å, 90.00 90.00 90.00°
Space group I-42d (No. 122)
Inequivalent atoms, fractional coordinates:
Nb 0.215 0.250 0.125
As 0.000 0.000 0.000
Br 0.000 0.000 0.500

Summary:
Energy in eV/atom: -6.134
M_tot in μB per formula unit: 0.00
Energy above the most stable polymorph in this dataset in eV/f.u.: 1.73
Formation energy from raw total energies in eV per atom: 0.481

***

Record 7
This record from the Alexandria database describes crystalline NbAs3Br at its relaxed geometry. The functional is PBE-GGA.

Cell: 4.904 4.904 4.904 Å, 90.00 90.00 90.00°
Space group Pm-3m (No. 221)
Inequivalent atoms, fractional coordinates:
Nb 0.000 0.000 0.000
As 0.000 0.500 0.500
Br 0.500 0.500 0.500

Summary:
Energy in eV/atom: -3.697
M_tot in μB per formula unit: 0.00
Energy above the most stable polymorph in this dataset in eV/f.u.: 6.20
Formation energy from raw total energies in eV per atom: 1.441

***

Record 8
This record from the Alexandria database describes crystalline NbAs2Br at its relaxed geometry. The functional is PBE-GGA.

Cell: 6.333 6.333 12.290 Å, 90.00 90.00 90.00°
Space group I-42d (No. 122)
Inequivalent atoms, fractional coordinates:
Nb 0.000 0.000 0.000
As 0.175 0.250 0.125
Br 0.000 0.000 0.500

Summary:
Energy in eV/atom: -4.948
M_tot in μB per formula unit: 0.00
Energy above the most stable polymorph in this dataset in eV/f.u.: 0.00
Formation energy from raw total energies in eV per atom: 0.312

***

Record 9
This record from the Alexandria database describes crystalline Nb2AsBr at its relaxed geometry. The functional is PBE-GGA.

Cell: 6.531 6.531 6.531 Å, 90.00 90.00 90.00°
Space group Fm-3m (No. 225)
Inequivalent atoms, fractional coordinates:
Nb 0.250 0.250 0.250
As 0.000 0.000 0.000
Br 0.000 0.000 0.500

Summary:
Energy in eV/atom: -6.567
M_tot in μB per formula unit: 1.16
Energy above the most stable polymorph in this dataset in eV/f.u.: 0.00
Formation energy from raw total energies in eV per atom: 0.048

***

Record 10
This record from the Alexandria database describes crystalline NbAs2Br at its relaxed geometry. The functional is PBE-GGA.

Cell: 6.775 6.775 6.775 Å, 90.00 90.00 90.00°
Space group Fm-3m (No. 225)
Inequivalent atoms, fractional coordinates:
Nb 0.000 0.000 0.000
As 0.250 0.250 0.250
Br 0.000 0.000 0.500

Summary:
Energy in eV/atom: -4.686
M_tot in μB per formula unit: 0.00
Energy above the most stable polymorph in this dataset in eV/f.u.: 1.05
Formation energy from raw total energies in eV per atom: 0.574

***

Record 11
This record from the Alexandria database describes crystalline NbAsBr2 at its relaxed geometry. The functional is PBE-GGA.

Cell: 6.805 6.805 6.805 Å, 90.00 90.00 90.00°
Space group Fm-3m (No. 225)
Inequivalent atoms, fractional coordinates:
Nb 0.000 0.000 0.000
As 0.000 0.000 0.500
Br 0.250 0.250 0.250

Summary:
Energy in eV/atom: -4.030
M_tot in μB per formula unit: 0.00
Energy above the most stable polymorph in this dataset in eV/f.u.: 2.41
Formation energy from raw total energies in eV per atom: 0.486

***

Record 12
This record from the Alexandria database describes crystalline NbAsBr2 at its relaxed geometry. The functional is PBE-GGA.

Cell: 9.578 9.578 5.016 Å, 90.00 90.00 90.00°
Space group I-42d (No. 122)
Inequivalent atoms, fractional coordinates:
Nb 0.000 0.000 0.000
As 0.000 0.000 0.500
Br 0.106 0.250 0.125

Summary:
Energy in eV/atom: -4.633
M_tot in μB per formula unit: 0.18
Energy above the most stable polymorph in this dataset in eV/f.u.: 0.00
Formation energy from raw total energies in eV per atom: -0.117